No. 1
Below is a relaxed structure of LiMoIr, with properties calculated at the PBE level.

Geometry as extended XYZ:
```
6
Lattice="3.4764 10.0438 0.2012 -3.6749 -9.6214 2.6321 2.7750 -0.9673 0.3386" Properties=species:S:1:pos:R:3 pbc="T T T"
Li 3.4832 3.6137 1.1603
Li -0.9066 -4.1586 2.0116
Mo 2.3705 0.5540 1.5385
Mo 0.2061 -1.0988 1.6334
Ir -2.0394 -7.2735 2.3967
Ir 4.6160 6.7286 0.7752
```

Values from the calculation:
As for the energy above the most stable polymorph in this dataset: 0.011 eV per atom. The value obtained for the density of states at the Fermi level is 4.48 states/eV per cell.

No. 2
Below is a relaxed structure of Ir2AuBr, with properties calculated at the PBE level.

Geometry as extended XYZ:
```
4
Lattice="-1.7599 -0.2159 -2.1878 1.1386 -5.0034 -0.4222 -3.5451 -1.0561 2.9561" Properties=species:S:1:pos:R:3 pbc="T T T"
Br -1.2033 -3.0298 1.2670
Ir 0.0000 0.0000 0.0000
Ir -0.3107 -2.6097 -1.3050
Au -2.6525 -0.6360 0.3842
```

Values from the calculation:
The value obtained for the formation energy without anion corrections is 943 meV/atom. As for the energy above the most stable polymorph in this dataset: 0.488 eV per atom. The value obtained for the density of states at the Fermi level is 4.40 states/eV per cell.

No. 3
Below is a relaxed structure of AlReAg2, with properties calculated at the PBE level.

Geometry as extended XYZ:
```
4
Lattice="2.7508 -0.0109 0.0000 -0.8714 2.6091 0.0000 0.0000 0.0000 9.0408" Properties=species:S:1:pos:R:3 pbc="T T T"
Ag 0.0000 0.0000 9.0022
Ag 0.9397 1.2991 2.3966
Al 0.0000 0.0000 4.5870
Re 0.9397 1.2991 6.6161
```

Values from the calculation:
The value obtained for the density of states at the Fermi level is 0.93 states/eV per cell.

No. 4
Below is a relaxed structure of Li2YScSe4, with properties calculated at the PBE level.

Geometry as extended XYZ:
```
8
Lattice="-3.4310 0.7647 -1.8527 2.9594 -1.3897 -6.0540 -2.6859 -5.7381 2.6056" Properties=species:S:1:pos:R:3 pbc="T T T"
Y -0.2358 -0.3125 -3.9533
Se -1.4865 -5.0100 -3.5761
Se -1.6711 -1.3531 -1.7250
Se -1.3053 -4.6270 0.5075
Se 1.5788 -2.5008 -3.9559
Li 0.1367 -3.5639 -1.7242
Li -3.0585 -2.4867 0.3764
Sc 0.0000 0.0000 0.0000
```

Values from the calculation:
The value obtained for the formation energy without anion corrections is -1642 meV/atom.

No. 5
Below is a relaxed structure of CuIO6, with properties calculated at the PBE level.

Geometry as extended XYZ:
```
8
Lattice="-2.7454 3.7592 1.6544 -3.7078 -0.8478 3.1530 0.5165 1.4786 4.8779" Properties=species:S:1:pos:R:3 pbc="T T T"
O -3.9205 0.5346 4.4537
O -2.4543 2.4055 2.9695
O -1.3483 1.1367 5.1088
O -2.0162 3.8555 5.2316
O -4.5884 3.2534 4.5765
O -3.4824 1.9846 6.7157
I 0.0000 0.0000 0.0000
Cu -2.9683 2.1951 4.8426
```

Values from the calculation:
The value obtained for the formation energy without anion corrections is 185 meV/atom. The value obtained for the density of states at the Fermi level is 7.13 states/eV per cell.

Taking the records one at a time from the top gives total DFT energy (no corrections) values of -7.219 -4.725 -5.295 -5.462 -4.239 eV/atom.